No. 1
## SiTc3 (PBE)

Data for a relaxed SiTc3 crystal.

abc: 5.4088 5.4088 4.4274
angles: 90.00 90.00 120.00
Closest atoms and distances in Å follow each position.
Sites, in units of the cell vectors:
Si: 0.3333 0.6667 0.2500  12 Tc 2.68-2.70
Si: 0.6667 0.3333 0.7500  12 Tc 2.68-2.70
Tc: 0.8288 0.6576 0.2500  8 Tc 2.63-2.78, 4 Si 2.68-2.70
Tc: 0.3424 0.1712 0.2500  8 Tc 2.63-2.78, 4 Si 2.68-2.70
Tc: 0.8288 0.1712 0.2500  8 Tc 2.63-2.78, 4 Si 2.68-2.70
Tc: 0.1712 0.3424 0.7500  8 Tc 2.63-2.78, 4 Si 2.68-2.70
Tc: 0.6576 0.8288 0.7500  8 Tc 2.63-2.78, 4 Si 2.68-2.70
Tc: 0.1712 0.8288 0.7500  8 Tc 2.63-2.78, 4 Si 2.68-2.70

Density of states at the Fermi level   1.276 states/eV/atom
Formation energy without anion corrections   -0.1043 eV/atom
ΔE to the lowest computed polymorph   160 meV per atom



No. 2
## Rb2SrBiOs (PBE)

Data for a relaxed Rb2SrBiOs crystal.

abc: 7.0062 5.1423 7.0062
angles: 90.00 90.00 90.00
Closest atoms and distances in Å follow each position.
Sites, in units of the cell vectors:
Sr: 0.5000 0.5000 0.5000  8 Rb 4.35
Os: 0.0000 0.5000 0.0000  2 Bi 2.57
Bi: 0.0000 0.0000 0.0000  2 Os 2.57
Rb: 0.0000 0.0000 0.5000  2 Bi 3.50
Rb: 0.5000 0.0000 0.0000  2 Bi 3.50

Density of states at the Fermi level   0.689 states/eV/atom
Energy of formation from the pure elements   0.8485 eV per atom



No. 3
## PrSmAlSn (PBE)

Data for a relaxed PrSmAlSn crystal.

abc: 4.6251 4.2907 6.2598
angles: 90.00 111.68 90.00
Closest atoms and distances in Å follow each position.
Sites, in units of the cell vectors:
Pr: 0.1395 0.0000 0.2790  4 Al 3.23, 3 Sn 3.30-3.42
Sm: 0.8588 0.5000 0.7176  4 Sn 3.24, 3 Al 3.26-3.45
Al: 0.5785 0.5000 0.1570  2 Sn 2.81
Sn: 0.4232 0.0000 0.8463  2 Al 2.81

Density of states at the Fermi level   0.954 states/eV/atom
ΔE to the lowest computed polymorph   0 meV per atom
Energy of formation from the pure elements   -0.6076 eV per atom



No. 4
## LiSbO3 (PBE)

Data for a relaxed LiSbO3 crystal.

abc: 6.0221 6.0221 6.0221
angles: 90.00 90.00 90.00
Closest atoms and distances in Å follow each position.
Sites, in units of the cell vectors:
Li: 0.8727 0.8727 0.8727  6 O 2.03-2.23
Li: 0.6273 0.1273 0.3727  6 O 2.03-2.23
Li: 0.3727 0.6273 0.1273  6 O 2.03-2.23
Li: 0.1273 0.3727 0.6273  6 O 2.03-2.23
Sb: 0.0926 0.9074 0.4074  6 O 2.02
Sb: 0.4074 0.0926 0.9074  6 O 2.02
Sb: 0.5926 0.5926 0.5926  6 O 2.02
Sb: 0.9074 0.4074 0.0926  6 O 2.02
O: 0.9844 0.2225 0.3622  2 Sb 2.02, 2 Li 2.03-2.23
O: 0.1378 0.0156 0.7225  2 Sb 2.02, 2 Li 2.03-2.23
O: 0.2225 0.3622 0.9844  2 Sb 2.02, 2 Li 2.03-2.23
O: 0.2775 0.6378 0.4844  2 Sb 2.02, 2 Li 2.03-2.23
O: 0.3622 0.9844 0.2225  2 Sb 2.02, 2 Li 2.03-2.23
O: 0.5156 0.7775 0.8622  2 Sb 2.02, 2 Li 2.03-2.23
O: 0.4844 0.2775 0.6378  2 Sb 2.02, 2 Li 2.03-2.23
O: 0.6378 0.4844 0.2775  2 Sb 2.02, 2 Li 2.03-2.23
O: 0.7225 0.1378 0.0156  2 Sb 2.02, 2 Li 2.03-2.23
O: 0.7775 0.8622 0.5156  2 Sb 2.02, 2 Li 2.03-2.23
O: 0.8622 0.5156 0.7775  2 Sb 2.02, 2 Li 2.03-2.23
O: 0.0156 0.7225 0.1378  2 Sb 2.02, 2 Li 2.03-2.23

Formation energy without anion corrections   -1.6092 eV/atom



No. 5
## La4SiBiCl2 (PBE)

Data for a relaxed La4SiBiCl2 crystal.

abc: 4.4311 7.2860 7.9566
angles: 69.80 90.00 90.00
Closest atoms and distances in Å follow each position.
Sites, in units of the cell vectors:
La: 0.0000 0.7546 0.7203  1 Si 2.96, 3 Cl 3.00-3.30, 2 Bi 3.23
La: 0.0000 0.2454 0.2797  1 Si 2.96, 3 Cl 3.00-3.30, 2 Bi 3.23
La: 0.5000 0.7403 0.2768  2 Si 3.00, 3 Cl 3.01-3.23, 1 Bi 3.25
La: 0.5000 0.2597 0.7232  2 Si 3.00, 3 Cl 3.01-3.23, 1 Bi 3.25
Si: 0.0000 0.5000 0.5000  6 La 2.96-3.00
Bi: 0.5000 0.5000 0.0000  6 La 3.23-3.25
Cl: 0.0000 0.0000 0.0000  6 La 3.23-3.30
Cl: 0.5000 0.0000 0.5000  6 La 3.00-3.01

Density of states at the Fermi level   0.516 states/eV/atom
Formation energy without anion corrections   -1.2865 eV/atom



No. 6
## LiYPa2O8 (PBE)

Data for a relaxed LiYPa2O8 crystal.

abc: 5.7062 5.7062 5.4954
angles: 90.00 90.00 120.00
Closest atoms and distances in Å follow each position.
Sites, in units of the cell vectors:
Li: 0.0000 0.0000 0.0000  6 O 2.02
Y: 0.0000 0.0000 0.5000  6 O 2.46, 2 Li 2.75
Pa: 0.6667 0.3333 0.0930  1 O 1.95
Pa: 0.3333 0.6667 0.9070  1 O 1.95
O: 0.9452 0.6709 0.8157  1 Li 2.02
O: 0.3291 0.2743 0.8157  1 Li 2.02
O: 0.7257 0.0548 0.8157  1 Li 2.02
O: 0.0548 0.3291 0.1843  1 Li 2.02
O: 0.6709 0.7257 0.1843  1 Li 2.02
O: 0.2743 0.9452 0.1843  1 Li 2.02
O: 0.6667 0.3333 0.4478  1 Pa 1.95
O: 0.3333 0.6667 0.5522  1 Pa 1.95

Density of states at the Fermi level   0.458 states/eV/atom
Formation energy without anion corrections   -2.5945 eV/atom